{
  "formula": "Li2MgZn",
  "functional": "PBE-GGA",
  "state": "relaxed",
  "lattice_angstrom": [[2.923, 0.000, 0.000], [0.000, 4.671, 0.000], [-0.865, 0.000, 5.215]],
  "species": ["Li", "Li", "Mg", "Zn"],
  "fractional_positions": [[0.221, 0.000, 0.267], [0.779, 0.000, 0.733], [0.500, 0.500, 0.000], [0.000, 0.500, 0.500]],
  "delta_e_f_ev_per_atom": -0.08,
  "space_group": "P2/m, No. 10",
  "total_magnetization_mub_per_atom": 0.0000,
  "final_energy_ev_per_atom": -1.755,
  "volume_a3_per_atom": 17.8,
  "density_g_cm3": 2.4,
  "dos_ef_per_ev_cell": 1.29,
  "crystal_system": "monoclinic"
}

***

{
  "formula": "NaGa2Pt2",
  "functional": "PBE-GGA",
  "state": "relaxed",
  "lattice_angstrom": [[2.791, -5.088, 0.000], [2.791, 5.088, 0.000], [-2.775, 0.000, 7.095]],
  "species": ["Na", "Na", "Ga", "Ga", "Ga", "Ga", "Pt", "Pt", "Pt", "Pt"],
  "fractional_positions": [[0.125, 0.875, 0.750], [0.875, 0.125, 0.250], [0.187, 0.813, 0.250], [0.438, 0.562, 0.750], [0.562, 0.438, 0.250], [0.813, 0.187, 0.750], [0.260, 0.510, 0.020], [0.490, 0.740, 0.480], [0.510, 0.260, 0.520], [0.740, 0.490, 0.980]],
  "delta_e_f_ev_per_atom": -0.56,
  "space_group": "C2/c, No. 15",
  "total_magnetization_mub_per_atom": 0.0000,
  "final_energy_ev_per_atom": -4.452,
  "relative_energy_mev_per_atom": 53,
  "volume_a3_per_atom": 20.2,
  "density_g_cm3": 9.1,
  "dos_ef_per_ev_cell": 3.02,
  "crystal_system": "monoclinic"
}

***

{
  "formula": "TaReIr",
  "functional": "PBE-GGA",
  "state": "relaxed",
  "lattice_angstrom": [[3.271, 0.000, 0.000], [0.000, 3.271, 0.000], [0.000, 0.000, 9.047]],
  "species": ["Ta", "Ta", "Re", "Re", "Ir", "Ir"],
  "fractional_positions": [[0.000, 0.000, 0.000], [0.500, 0.500, 0.500], [0.000, 0.000, 0.657], [0.500, 0.500, 0.157], [0.000, 0.000, 0.339], [0.500, 0.500, 0.839]],
  "delta_e_f_ev_per_atom": -0.02,
  "space_group": "I4mm, No. 107",
  "total_magnetization_mub_per_atom": 0.0000,
  "final_energy_ev_per_atom": -11.070,
  "relative_energy_mev_per_atom": 263,
  "volume_a3_per_atom": 16.1,
  "density_g_cm3": 19.2,
  "dos_ef_per_ev_cell": 7.38,
  "crystal_system": "tetragonal"
}

***

{
  "formula": "K2Rb2Ag",
  "functional": "PBE-GGA",
  "state": "relaxed",
  "lattice_angstrom": [[9.203, 0.000, 0.000], [0.000, 9.203, 0.000], [0.000, 0.000, 7.462]],
  "species": ["K", "K", "K", "K", "Rb", "Rb", "Rb", "Rb", "Ag", "Ag"],
  "fractional_positions": [[0.163, 0.337, 0.000], [0.337, 0.837, 0.000], [0.663, 0.163, 0.000], [0.837, 0.663, 0.000], [0.182, 0.682, 0.500], [0.318, 0.182, 0.500], [0.682, 0.818, 0.500], [0.818, 0.318, 0.500], [0.000, 0.000, 0.000], [0.500, 0.500, 0.000]],
  "delta_e_f_ev_per_atom": 0.11,
  "space_group": "P4/mbm, No. 127",
  "total_magnetization_mub_per_atom": 0.0000,
  "final_energy_ev_per_atom": -1.288,
  "relative_energy_mev_per_atom": 76,
  "volume_a3_per_atom": 63.2,
  "density_g_cm3": 1.9,
  "dos_ef_per_ev_cell": 8.87,
  "crystal_system": "tetragonal"
}

***

> What is the formula in the fourth record?

K2Rb2Ag